# 1
An optimized crystal structure of BaBrN2F, computed with GGA-PBE.

a = 5.774 Å, b = 5.774 Å, c = 4.829 Å
α = 90.00°, β = 90.00°, γ = 90.00°
Space group P4/mmm (No. 123)
Unique sites:
1 Ba 0.000 0.000 0.000 (multiplicity 1)
2 Br 0.500 0.500 0.500 (multiplicity 1)
3 N 0.000 0.500 0.000 (multiplicity 2)
4 F 0.000 0.000 0.500 (multiplicity 1)

Results
mass density	2725	kg/m³
energy above the most stable polymorph in this dataset	340	meV per atom

---

# 2
An optimized crystal structure of LaSc3Pt, computed with GGA-PBE.

a = 5.179 Å, b = 5.179 Å, c = 5.179 Å
α = 90.00°, β = 90.00°, γ = 90.00°
Space group Pm-3m (No. 221)
Unique sites:
1 La 0.000 0.000 0.000 (multiplicity 1)
2 Sc 0.000 0.500 0.500 (multiplicity 3)
3 Pt 0.500 0.500 0.500 (multiplicity 1)

Results
mass density	5605	kg/m³
energy above the most stable polymorph in this dataset	0	meV per atom
E_form	-0.408	eV per atom

---

# 3
An optimized crystal structure of Rb2CeInS4, computed with GGA-PBE.

a = 7.563 Å, b = 7.563 Å, c = 9.818 Å
α = 90.00°, β = 90.00°, γ = 90.00°
Space group I-4 (No. 82)
Unique sites:
1 Rb 0.000 0.000 0.000 (multiplicity 2)
2 Rb 0.000 0.500 0.250 (multiplicity 2)
3 Ce 0.000 0.000 0.500 (multiplicity 2)
4 In 0.000 0.500 0.750 (multiplicity 2)
5 S 0.173 0.266 0.629 (multiplicity 8)

Results
mass density	3278	kg/m³
uncorrected energy	-73.477	eV for the cell shown

---

# 4
An optimized crystal structure of BeCrNiRu, computed with GGA-PBE.

a = 5.670 Å, b = 5.670 Å, c = 5.670 Å
α = 90.00°, β = 90.00°, γ = 90.00°
Space group F-43m (No. 216)
Unique sites:
1 Be 0.000 0.000 0.000 (multiplicity 4)
2 Cr 0.000 0.000 0.500 (multiplicity 4)
3 Ni 0.250 0.250 0.750 (multiplicity 4)
4 Ru 0.250 0.250 0.250 (multiplicity 4)

Results
mass density	8043	kg/m³
E_form	-0.128	eV per atom

---

# 5
An optimized crystal structure of Pm6Pr5, computed with GGA-PBE.

a = 9.423 Å, b = 13.531 Å, c = 6.524 Å
α = 90.00°, β = 108.81°, γ = 90.00°
Space group C2/m (No. 12)
Unique sites:
1 Pm 0.169 0.000 0.182 (multiplicity 4)
2 Pm 0.177 0.131 0.669 (multiplicity 8)
3 Pr 0.000 0.239 0.000 (multiplicity 4)
4 Pr 0.000 0.370 0.500 (multiplicity 4)
5 Pr 0.000 0.500 0.000 (multiplicity 2)

Results
mass density	6641	kg/m³
energy above the most stable polymorph in this dataset	24	meV per atom
E_form	0.128	eV per atom

---

# 6
An optimized crystal structure of SrMgTl2, computed with GGA-PBE.

a = 7.840 Å, b = 7.840 Å, c = 7.840 Å
α = 90.00°, β = 90.00°, γ = 90.00°
Space group F-43m (No. 216)
Unique sites:
1 Sr 0.000 0.000 0.000 (multiplicity 4)
2 Mg 0.250 0.250 0.750 (multiplicity 4)
3 Tl 0.000 0.000 0.500 (multiplicity 4)
4 Tl 0.250 0.250 0.250 (multiplicity 4)

Results
mass density	7176	kg/m³
energy above the most stable polymorph in this dataset	138	meV per atom
E_form	-0.137	eV per atom

---

# 7
An optimized crystal structure of DyAgPb2, computed with GGA-PBE.

a = 3.751 Å, b = 3.751 Å, c = 7.475 Å
α = 90.00°, β = 90.00°, γ = 90.00°
Space group P4/mmm (No. 123)
Unique sites:
1 Dy 0.000 0.000 0.000 (multiplicity 1)
2 Ag 0.000 0.000 0.500 (multiplicity 1)
3 Pb 0.500 0.500 0.272 (multiplicity 2)

Results
mass density	10810	kg/m³
E_form	-0.094	eV per atom

---

# 8
An optimized crystal structure of MnMoP3, computed with GGA-PBE.

a = 4.394 Å, b = 4.394 Å, c = 4.394 Å
α = 90.00°, β = 90.00°, γ = 90.00°
Space group Pm-3m (No. 221)
Unique sites:
1 Mn 0.000 0.000 0.000 (multiplicity 1)
2 Mo 0.500 0.500 0.500 (multiplicity 1)
3 P 0.000 0.000 0.500 (multiplicity 3)

Results
mass density	4773	kg/m³
energy above the most stable polymorph in this dataset	0	meV per atom
E_form	0.781	eV per atom